1.
## HgSbI (GGA-PBE)

Data for a geometry-optimized HgSbI structure.

Unit cell a=4.239 b=7.745 c=8.292 alpha=114.62 beta=90.01 gamma=105.83
Fractional coordinates of all 6 atoms:
1 Hg 0.152 0.301 0.110
2 Hg 0.848 0.699 0.890
3 Sb 0.176 0.352 0.457
4 Sb 0.824 0.648 0.543
5 I 0.398 0.798 0.167
6 I 0.602 0.202 0.833

Summary:
Calculated density, g cm⁻³: 6.3
Symmetry: No. 2
E above lowest polymorph, eV per formula unit: 0.00
Formation energy (no corrections), kJ/mol of formula units: -44


2.
## Hg4SbI4 (GGA-PBE)

Data for a geometry-optimized Hg4SbI4 structure.

Unit cell a=10.379 b=10.379 c=7.093 alpha=90.00 beta=90.00 gamma=90.00
Fractional coordinates of all 18 atoms:
1 Hg 0.039 0.283 0.013
2 Hg 0.217 0.039 0.487
3 Hg 0.283 0.461 0.487
4 Hg 0.461 0.217 0.013
5 Hg 0.539 0.783 0.987
6 Hg 0.717 0.539 0.513
7 Hg 0.783 0.961 0.513
8 Hg 0.961 0.717 0.987
9 Sb 0.250 0.250 0.250
10 Sb 0.750 0.750 0.750
11 I 0.055 0.810 0.346
12 I 0.190 0.555 0.846
13 I 0.310 0.945 0.846
14 I 0.445 0.690 0.346
15 I 0.555 0.310 0.654
16 I 0.690 0.055 0.154
17 I 0.810 0.445 0.154
18 I 0.945 0.190 0.654

Summary:
Calculated density, g cm⁻³: 6.2
D(E_F), states/eV/atom: 0.20
Symmetry: No. 86
Formation energy (no corrections), kJ/mol of formula units: -136


3.
## HgSbI3 (GGA-PBE)

Data for a geometry-optimized HgSbI3 structure.

Unit cell a=6.030 b=6.030 c=6.030 alpha=90.00 beta=90.00 gamma=90.00
Fractional coordinates of all 5 atoms:
1 Hg 0.000 0.000 0.000
2 Sb 0.500 0.500 0.500
3 I 0.000 0.500 0.500
4 I 0.500 0.000 0.500
5 I 0.500 0.500 0.000

Summary:
Calculated density, g cm⁻³: 5.3
D(E_F), states/eV/atom: 0.00
Symmetry: No. 221
E above lowest polymorph, eV per formula unit: 0.60
Formation energy (no corrections), kJ/mol of formula units: -62


4.
## Hg2Sb2I (GGA-PBE)

Data for a geometry-optimized Hg2Sb2I structure.

Unit cell a=8.643 b=8.643 c=3.903 alpha=90.00 beta=90.00 gamma=90.00
Fractional coordinates of all 10 atoms:
1 Hg 0.170 0.330 0.000
2 Hg 0.330 0.830 0.000
3 Hg 0.670 0.170 0.000
4 Hg 0.830 0.670 0.000
5 Sb 0.130 0.630 0.500
6 Sb 0.370 0.130 0.500
7 Sb 0.630 0.870 0.500
8 Sb 0.870 0.370 0.500
9 I 0.000 0.000 0.500
10 I 0.500 0.500 0.500

Summary:
Calculated density, g cm⁻³: 8.8
D(E_F), states/eV/atom: 0.49
Symmetry: No. 127
E above lowest polymorph, eV per formula unit: 0.86
Formation energy (no corrections), kJ/mol of formula units: 74